First-principles (GGA-PBE) data for crystalline SnHg3Sb at its relaxed geometry, as listed in the Alexandria database.

a b c (Å): 5.585 5.585 5.585
angles (deg): 90.00 90.00 90.00
Atoms (fractional coordinates):
1 Sn 0.000 0.000 0.000
2 Hg 0.000 0.500 0.500
3 Hg 0.500 0.000 0.500
4 Hg 0.500 0.500 0.000
5 Sb 0.500 0.500 0.500

The raw formation energy is 0.45 eV/atom. As for the symmetry: Pm-3m (221). As for the crystal system: cubic. Its distance to the lowest polymorph of the same formula is 0.0 kJ/mol of atoms.